# 1
A plane-wave DFT calculation with PBE was carried out for a relaxed structure of Ac6Co2HCl3.

extended XYZ file:
```
12
Lattice="4.138 0.000 0.000 0.000 9.245 -0.371 -2.069 -3.393 9.393" Properties=species:S:1:pos:R:3 pbc="T T T"
Ac 0.000 1.969 5.874
Co 2.069 3.983 6.174
Cl 2.069 4.622 -0.186
Ac 2.069 -0.069 2.778
H 2.069 0.000 0.000
Cl 0.000 6.506 3.015
Ac 2.069 3.882 3.148
Cl 2.069 -0.654 6.007
Co 0.000 1.869 2.847
Ac 0.000 5.920 6.244
Ac 2.069 3.818 8.952
Ac 0.000 2.034 0.069
```

Theoretical density = 7.4 Mg/m³
Volume = 354 Å³/f.u.
Crystal system = monoclinic
Energy = -4.832 eV per atom
Space group = C2/m, No. 12

***

# 2
A plane-wave DFT calculation with PBE was carried out for a relaxed structure of ZrSiN.

extended XYZ file:
```
3
Lattice="-0.194 -0.570 -3.020 2.429 -1.883 0.199 -2.739 -3.445 0.825" Properties=species:S:1:pos:R:3 pbc="T T T"
Zr -1.558 -1.959 0.469
N -0.932 -3.804 -0.793
Si 0.733 -1.710 -1.295
```

Theoretical density = 5.2 Mg/m³
Volume = 42 Å³/f.u.
Crystal system = tetragonal
Space group = P4mm, No. 99
Raw formation energy = -2.4 eV/f.u.

***

# 3
A plane-wave DFT calculation with PBE was carried out for a relaxed structure of Ba2ZnF6.

extended XYZ file:
```
18
Lattice="-4.430 2.541 2.598 -4.373 -4.381 -3.172 1.134 -5.473 5.997" Properties=species:S:1:pos:R:3 pbc="T T T"
Ba -5.473 -6.737 3.105
Ba -2.503 -3.946 -0.234
Ba -2.197 -0.577 2.318
Ba -5.167 -3.367 5.656
F -4.927 -2.802 -1.156
F -3.247 -5.522 3.889
F -2.379 -1.296 -0.358
F -6.358 -4.050 3.299
Zn 0.567 -2.737 2.998
F 0.208 -3.945 4.574
F -2.743 -4.511 6.579
F -3.101 -1.834 4.611
F -5.291 -6.017 5.781
F -7.878 -3.368 0.848
F -4.423 -1.791 1.534
F -4.569 -5.479 0.812
F -1.312 -3.263 2.124
Zn -4.402 -0.920 -0.287
```

Theoretical density = 4.6 Mg/m³
Volume = 163 Å³/f.u.
Crystal system = monoclinic
ΔE to the lowest computed polymorph = 0.003 eV/atom
Space group = P2_1/c, No. 14
Raw formation energy = -30.0 eV/f.u.

***

# 4
A plane-wave DFT calculation with PBE was carried out for a relaxed structure of Be2HIr2.

extended XYZ file:
```
10
Lattice="-3.131 -0.547 -4.289 -0.261 -5.262 0.862 -2.931 0.486 2.078" Properties=species:S:1:pos:R:3 pbc="T T T"
Ir -1.229 -4.513 -0.680
Be -2.629 -0.692 -0.384
Ir -2.756 -4.009 -2.952
Be -2.071 -3.203 0.989
Be -4.252 -2.121 -2.339
H -1.696 -2.905 -1.714
Ir -2.163 -1.296 -2.748
Ir -0.636 -1.801 -0.476
Be -3.694 -4.632 -0.966
H 0.000 0.000 0.000
```

Theoretical density = 13.0 Mg/m³
Volume = 52 Å³/f.u.
Crystal system = tetragonal
ΔE to the lowest computed polymorph = 0.000 eV/atom
Space group = P4/mbm, No. 127

***

# 5
A plane-wave DFT calculation with PBE was carried out for a relaxed structure of KZrSi3.

extended XYZ file:
```
5
Lattice="-3.470 -3.463 0.529 2.507 -2.976 -3.030 2.447 -1.863 3.855" Properties=species:S:1:pos:R:3 pbc="T T T"
Si -1.735 -1.732 0.265
K 0.000 0.000 0.000
Si 1.224 -0.931 1.927
Zr 0.742 -4.151 0.677
Si 1.254 -1.488 -1.515
```

Theoretical density = 3.0 Mg/m³
Volume = 120 Å³/f.u.
Crystal system = cubic
ΔE to the lowest computed polymorph = 1.554 eV/atom
Space group = Pm-3m, No. 221
Raw formation energy = 9.5 eV/f.u.

***

# 6
A plane-wave DFT calculation with PBE was carried out for a relaxed structure of Ho4CuTe2S.

extended XYZ file:
```
8
Lattice="-3.226 0.930 2.221 0.871 -6.101 3.819 3.813 5.333 3.305" Properties=species:S:1:pos:R:3 pbc="T T T"
Ho -0.591 0.163 2.720
Ho 2.050 -0.001 6.625
Ho 1.452 -3.331 3.503
Ho 3.232 2.563 3.622
Te 2.342 -0.384 3.562
S 0.000 0.000 0.000
Cu -1.177 -2.586 3.020
Te 0.294 3.132 2.763
```

Theoretical density = 8.2 Mg/m³
Volume = 204 Å³/f.u.
Crystal system = monoclinic
Space group = P2/m, No. 10
Raw formation energy = -9.4 eV/f.u.

***

# 7
A plane-wave DFT calculation with PBE was carried out for a relaxed structure of Sr2RuRhO6.

extended XYZ file:
```
20
Lattice="5.653 0.000 0.000 2.826 4.895 0.000 2.826 1.632 9.539" Properties=species:S:1:pos:R:3 pbc="T T T"
O 5.653 1.670 6.017
O 4.273 4.061 6.017
O 4.197 4.104 1.157
Sr 8.479 4.895 3.494
O 4.273 2.467 3.523
Rh 5.653 3.264 7.266
O 5.653 4.857 3.523
Ru 0.000 0.000 0.000
O 7.108 2.423 8.383
Rh 5.653 3.264 2.273
O 7.108 4.104 1.157
O 4.197 2.423 8.383
Sr 2.826 1.632 1.313
Sr 2.826 1.632 6.045
Ru 5.653 3.264 4.770
O 7.033 2.467 3.523
O 5.653 4.944 8.383
O 5.653 1.583 1.157
O 7.033 4.061 6.017
Sr 8.479 4.895 8.227
```

Theoretical density = 6.0 Mg/m³
Volume = 132 Å³/f.u.
Crystal system = trigonal
Space group = R-3m, No. 166
Raw formation energy = -16.6 eV/f.u.

***

# 8
A plane-wave DFT calculation with PBE was carried out for a relaxed structure of LuHfAlIn.

extended XYZ file:
```
4
Lattice="-3.275 -2.017 -3.180 -1.388 -4.764 0.535 -4.620 -1.096 1.537" Properties=species:S:1:pos:R:3 pbc="T T T"
Lu -4.641 -3.938 -0.554
Al -6.962 -5.907 -0.831
In -2.321 -1.969 -0.277
Hf 0.000 0.000 0.000
```

Theoretical density = 9.4 Mg/m³
ΔH_f (0 K) = -0.17 eV per atom
Volume = 88 Å³/f.u.
Crystal system = cubic
Space group = F-43m, No. 216

***

# 9
A plane-wave DFT calculation with PBE was carried out for a relaxed structure of Tb3ZnAg2.

extended XYZ file:
```
12
Lattice="5.138 0.000 0.000 -2.569 4.449 0.000 0.000 0.000 12.564" Properties=species:S:1:pos:R:3 pbc="T T T"
Zn 0.000 2.966 8.387
Ag 0.000 2.966 2.142
Tb 0.000 0.000 9.397
Tb 2.569 1.483 7.319
Ag 2.569 1.483 10.422
Tb 2.569 1.483 1.069
Tb 0.000 2.966 5.246
Ag 0.000 0.000 0.000
Tb 0.000 0.000 3.167
Tb 0.000 2.966 11.495
Zn 2.569 1.483 4.177
Ag 0.000 0.000 6.282
```

Theoretical density = 8.8 Mg/m³
ΔH_f (0 K) = -0.32 eV per atom
Volume = 144 Å³/f.u.
Crystal system = trigonal
Space group = P-3m1, No. 164

***

# 10
A plane-wave DFT calculation with PBE was carried out for a relaxed structure of MgTlTe2.

extended XYZ file:
```
4
Lattice="-1.714 3.387 -2.209 -2.498 -2.774 -2.315 -4.528 0.502 4.284" Properties=species:S:1:pos:R:3 pbc="T T T"
Te -3.803 0.495 -0.656
Mg -6.062 0.746 1.481
Te -3.964 0.440 3.751
Tl -1.702 0.189 1.611
```

Theoretical density = 6.7 Mg/m³
Volume = 121 Å³/f.u.
Crystal system = tetragonal
Space group = P4mm, No. 99
Raw formation energy = -1.7 eV/f.u.

***

# 11
A plane-wave DFT calculation with PBE was carried out for a relaxed structure of Pm5Mg6.

extended XYZ file:
```
11
Lattice="5.175 0.005 -1.608 -0.875 7.009 -2.810 0.016 -0.409 9.251" Properties=species:S:1:pos:R:3 pbc="T T T"
Mg 1.911 5.112 6.234
Pm 2.852 4.518 0.087
Mg -0.076 6.440 -0.187
Mg 4.393 0.164 5.020
Pm 3.418 1.198 1.917
Pm 0.899 5.407 2.916
Mg 2.406 1.493 -1.402
Mg 3.882 4.241 3.380
Pm -0.438 3.505 -1.405
Pm 1.464 2.087 4.746
Mg 0.434 2.364 1.452
```

Theoretical density = 4.4 Mg/m³
ΔH_f (0 K) = 0.02 eV per atom
Volume = 329 Å³/f.u.
Crystal system = monoclinic
Space group = C2/m, No. 12

***

# 12
A plane-wave DFT calculation with PBE was carried out for a relaxed structure of InHg2Cl.

extended XYZ file:
```
4
Lattice="-1.025 5.429 0.691 -5.162 1.732 1.166 -1.145 1.963 5.310" Properties=species:S:1:pos:R:3 pbc="T T T"
Hg -1.876 2.301 1.573
In -5.338 6.769 6.198
Hg -1.252 2.013 4.763
Cl -3.678 4.567 3.524
```

Theoretical density = 7.1 Mg/m³
Volume = 129 Å³/f.u.
Crystal system = trigonal
ΔE to the lowest computed polymorph = 0.078 eV/atom
Space group = R3m, No. 160
Raw formation energy = -1.3 eV/f.u.

***

# 13
A plane-wave DFT calculation with PBE was carried out for a relaxed structure of TcPPb4.

extended XYZ file:
```
6
Lattice="0.710 2.555 5.658 -2.958 5.317 1.421 -4.741 -0.054 4.070" Properties=species:S:1:pos:R:3 pbc="T T T"
Tc -5.241 5.864 8.361
P 0.000 0.000 0.000
Pb -4.099 5.588 4.892
Pb -2.622 2.934 4.183
Pb -4.989 2.907 6.214
Pb -2.268 4.209 7.007
```

Theoretical density = 9.2 Mg/m³
ΔH_f (0 K) = 1.09 eV per atom
Volume = 173 Å³/f.u.
Crystal system = cubic
Space group = F-43m, No. 216

***

# 14
A plane-wave DFT calculation with PBE was carried out for a relaxed structure of YCdIO2.

extended XYZ file:
```
5
Lattice="-2.449 -3.568 0.573 -0.282 -0.502 -4.328 5.338 -3.652 0.077" Properties=species:S:1:pos:R:3 pbc="T T T"
O -1.225 -1.784 0.287
Cd 1.304 -3.861 -1.839
O -0.141 -0.251 -2.164
I 2.669 -1.826 0.038
Y 0.000 0.000 0.000
```

Theoretical density = 4.9 Mg/m³
Volume = 123 Å³/f.u.
Crystal system = tetragonal
ΔE to the lowest computed polymorph = 0.000 eV/atom
Space group = P4/mmm, No. 123
Raw formation energy = -6.4 eV/f.u.

***

# 15
A plane-wave DFT calculation with PBE was carried out for a relaxed structure of Hf4ZrH8.

extended XYZ file:
```
13
Lattice="5.160 0.000 0.000 0.000 5.160 0.000 0.000 0.000 5.160" Properties=species:S:1:pos:R:3 pbc="T T T"
Hf 0.000 2.580 2.580
H 3.904 1.256 1.256
H 1.256 1.256 3.904
Hf 2.580 0.000 2.580
H 3.904 1.256 3.904
H 1.256 1.256 1.256
H 1.256 3.904 1.256
H 3.904 3.904 1.256
Hf 2.580 2.580 0.000
Hf 0.000 0.000 0.000
H 1.256 3.904 3.904
H 3.904 3.904 3.904
Zr 2.580 2.580 2.580
```

Theoretical density = 9.8 Mg/m³
Volume = 137 Å³/f.u.
Crystal system = cubic
Energy = -5.666 eV per atom
Space group = Pm-3m, No. 221

***

# 16
A plane-wave DFT calculation with PBE was carried out for a relaxed structure of Ta3InBi.

extended XYZ file:
```
5
Lattice="5.145 0.000 0.000 0.000 5.145 0.000 0.000 0.000 5.145" Properties=species:S:1:pos:R:3 pbc="T T T"
Bi 0.000 0.000 0.000
In 2.572 2.572 2.572
Ta 2.572 0.000 0.000
Ta 0.000 2.572 0.000
Ta 0.000 0.000 2.572
```

Theoretical density = 10.6 Mg/m³
ΔH_f (0 K) = 2.15 eV per atom
Volume = 136 Å³/f.u.
Crystal system = cubic
ΔE to the lowest computed polymorph = 0.196 eV/atom
Space group = Pm-3m, No. 221

***

# 17
A plane-wave DFT calculation with PBE was carried out for a relaxed structure of Ce2ReS6.

extended XYZ file:
```
18
Lattice="-4.371 -2.967 -2.961 -0.430 -4.763 5.408 -5.842 4.959 3.902" Properties=species:S:1:pos:R:3 pbc="T T T"
S -4.414 -2.745 5.229
S -8.443 1.804 2.848
S -4.449 -2.778 1.781
Ce -8.720 -0.926 2.153
S -4.990 3.332 2.775
S -2.199 -4.576 3.501
S -3.380 0.336 2.914
Re -2.400 -3.865 1.224
Re -2.921 2.479 1.951
S -6.229 -0.026 1.120
S -5.652 -6.103 3.575
Ce -3.502 -0.683 0.276
Ce -1.923 -1.846 4.196
S -7.263 -3.107 3.435
Ce -7.141 -2.089 6.074
S -1.192 -1.783 1.514
S -6.194 0.006 4.569
S -9.451 -0.988 4.836
```

Theoretical density = 5.8 Mg/m³
Volume = 188 Å³/f.u.
Crystal system = monoclinic
Space group = P2_1/c, No. 14
Raw formation energy = -11.1 eV/f.u.

***

# 18
A plane-wave DFT calculation with PBE was carried out for a relaxed structure of CaCrSb2Mo.

extended XYZ file:
```
5
Lattice="5.360 0.000 0.000 0.000 4.149 0.000 0.000 0.000 5.360" Properties=species:S:1:pos:R:3 pbc="T T T"
Cr 0.000 2.075 0.000
Sb 0.000 0.000 2.680
Sb 2.680 0.000 0.000
Ca 0.000 0.000 0.000
Mo 2.680 2.075 2.680
```

Theoretical density = 6.0 Mg/m³
Volume = 119 Å³/f.u.
Crystal system = tetragonal
Space group = P4/mmm, No. 123
Raw formation energy = 10.3 eV/f.u.

***

# 19
A plane-wave DFT calculation with PBE was carried out for a relaxed structure of K2Ba2P.

extended XYZ file:
```
10
Lattice="-1.081 4.579 7.218 -8.277 -2.381 0.271 1.939 -6.258 4.260" Properties=species:S:1:pos:R:3 pbc="T T T"
Ba -6.550 2.102 6.069
Ba -2.807 0.097 1.420
K -4.788 -3.939 3.562
Ba -2.271 2.696 4.994
Ba -7.086 -0.498 2.495
P -4.679 1.099 3.745
K -2.630 -0.121 8.188
K -6.602 -2.016 7.213
P 0.000 0.000 0.000
K -0.816 -2.044 4.537
```

Theoretical density = 2.2 Mg/m³
ΔH_f (0 K) = -0.19 eV per atom
Volume = 290 Å³/f.u.
Crystal system = tetragonal
Space group = P4/mbm, No. 127

***

# 20
A plane-wave DFT calculation with PBE was carried out for a relaxed structure of RbPuScF6.

extended XYZ file:
```
18
Lattice="7.259 0.000 0.000 0.000 8.175 0.000 -3.630 -4.088 5.675" Properties=species:S:1:pos:R:3 pbc="T T T"
Pu 1.815 -2.044 2.837
Rb 3.630 2.044 4.186
F -1.439 4.132 4.232
Sc 3.630 0.000 0.000
F 1.439 4.132 4.232
Sc 3.630 4.088 0.000
F 5.069 4.132 1.443
Pu -1.815 -2.044 2.837
F 1.439 -0.045 4.232
F 3.630 -2.044 4.395
F 0.000 2.044 5.513
F 3.630 2.044 0.162
F -1.439 -0.045 4.232
F 0.000 6.131 1.279
F 2.191 -0.045 1.443
Rb 0.000 2.044 1.489
F 2.191 4.132 1.443
F 5.069 -0.045 1.443
```

Theoretical density = 4.8 Mg/m³
Volume = 168 Å³/f.u.
Crystal system = orthorhombic
Space group = Imma, No. 74
Raw formation energy = -30.8 eV/f.u.

***

| no. | spin magnetization (μB/f.u.) |
| --- | --- |
| 1 | 0.001 |
| 2 | 0.000 |
| 3 | 0.000 |
| 4 | 0.000 |
| 5 | 0.000 |
| 6 | 0.000 |
| 7 | 1.986 |
| 8 | 0.001 |
| 9 | 0.000 |
| 10 | 0.000 |
| 11 | 0.003 |
| 12 | 0.000 |
| 13 | 2.782 |
| 14 | 0.000 |
| 15 | 0.000 |
| 16 | 0.000 |
| 17 | 1.567 |
| 18 | 0.000 |
| 19 | 0.000 |
| 20 | 5.997 |